First-principles (PBE-GGA) data for a geometry-optimized CaCe2PmS4 structure, as listed in Alexandria.

Unit cell a=4.0135 b=7.0234 c=6.9828 alpha=70.81 beta=90.00 gamma=90.00
Fractional positions:
Ce1 0.0000 0.0000 0.0000
S1 0.0000 0.2546 0.2458
S2 0.5000 0.2528 0.7523
S3 0.5000 0.7472 0.2477
S4 0.0000 0.7454 0.7542
Ce2 0.5000 0.0000 0.5000
Pm1 0.0000 0.5000 0.5000
Ca1 0.5000 0.5000 0.0000

Values from the calculation:
Formation energy from raw total energies (eV per atom): -2.028
SG: P2/m, No. 10